Compound: TiSe2NCl
Source: the Alexandria database
Functional: GGA-PBE
Structure: relaxed

a b c (Å): 4.8677 4.8677 3.7096
angles (deg): 90.00 90.00 90.00
With the nearest neighbours (Å) after each atom.
Sites, in units of the cell vectors:
1 Ti 0.5000 0.5000 0.5000  8 Se 3.06
2 Cl 0.0000 0.0000 0.0000  2 N 1.85
3 Se 0.0000 0.5000 0.0000  2 Cl 2.43
4 Se 0.5000 0.0000 0.0000  2 Cl 2.43
5 N 0.0000 0.0000 0.5000  2 Cl 1.85

Output
E above lowest polymorph (eV/atom): 1.0873
Formation energy (no corrections) (eV per atom): 1.231


Compound: GaHgSbTe2
Source: the Alexandria database
Functional: GGA-PBE
Structure: relaxed

a b c (Å): 5.7626 5.7626 5.4794
angles (deg): 90.00 90.00 90.00
With the nearest neighbours (Å) after each atom.
Sites, in units of the cell vectors:
1 Ga 0.5000 0.5000 0.5000  8 Te 3.98, 4 Sb 4.07
2 Hg 0.0000 0.0000 0.0000  2 Sb 2.74, 4 Te 2.88
3 Sb 0.0000 0.0000 0.5000  2 Hg 2.74
4 Te 0.0000 0.5000 0.0000  2 Hg 2.88
5 Te 0.5000 0.0000 0.0000  2 Hg 2.88

Output
E above lowest polymorph (eV/atom): 0.1815
Formation energy (no corrections) (eV per atom): 0.578


Compound: Ac2CdPd6
Source: the Alexandria database
Functional: GGA-PBE
Structure: relaxed

a b c (Å): 5.9270 5.9028 6.4924
angles (deg): 78.08 90.00 120.14
With the nearest neighbours (Å) after each atom.
Sites, in units of the cell vectors:
1 Pd 0.5988 0.7272 0.3256  1 Cd 2.73, 4 Pd 2.79-2.84
2 Pd 0.1212 0.2424 0.3259  1 Cd 2.69, 5 Pd 2.79-2.93
3 Pd 0.8788 0.7576 0.6741  1 Cd 2.69, 5 Pd 2.79-2.93
4 Pd 0.8715 0.2728 0.6744  1 Cd 2.73, 4 Pd 2.79-2.84
5 Pd 0.4012 0.2728 0.6744  1 Cd 2.73, 4 Pd 2.79-2.84
6 Pd 0.1285 0.7272 0.3256  1 Cd 2.73, 4 Pd 2.79-2.84
7 Ac 0.6397 0.2794 0.1835  6 Pd 3.08-3.10
8 Ac 0.3603 0.7206 0.8165  6 Pd 3.08-3.10
9 Cd 0.0000 0.0000 0.0000  6 Pd 2.69-2.73

Output
E_form (eV/atom): -0.67
E above lowest polymorph (eV/atom): 0.0176


Compound: LiCa2Mn
Source: the Alexandria database
Functional: GGA-PBE
Structure: relaxed

a b c (Å): 4.9000 3.9277 6.2713
angles (deg): 71.78 90.00 90.00
With the nearest neighbours (Å) after each atom.
Sites, in units of the cell vectors:
1 Ca 0.0000 0.9780 0.9196  3 Li 3.20-3.43, 4 Mn 3.28
2 Ca 0.5000 0.2761 0.3230  3 Mn 3.27-3.34, 4 Li 3.30
3 Mn 0.5000 0.5561 0.7626  2 Li 2.92, 1 Ca 3.27
4 Li 0.0000 0.6898 0.4949  2 Mn 2.92, 2 Ca 3.20

Output
E_form (eV/atom): 0.31


Compound: CaBi2Pd3
Source: the Alexandria database
Functional: GGA-PBE
Structure: relaxed

a b c (Å): 5.1253 5.1255 11.0376
angles (deg): 102.70 102.70 93.03
With the nearest neighbours (Å) after each atom.
Sites, in units of the cell vectors:
1 Bi 0.2759 0.2759 0.0000  8 Pd 2.83-3.13, 1 Bi 3.16
2 Bi 0.7500 0.2500 0.5000  4 Pd 2.88
3 Bi 0.2500 0.7500 0.5000  4 Pd 2.88
4 Bi 0.7241 0.7241 0.0000  8 Pd 2.83-3.13, 1 Bi 3.16
5 Ca 0.6482 0.6482 0.2965  2 Pd 2.80
6 Ca 0.3518 0.3518 0.7035  2 Pd 2.80
7 Pd 0.1245 0.7358 0.8603  1 Ca 2.80, 4 Bi 2.83-3.13, 3 Pd 2.85-2.92
8 Pd 0.1875 0.1875 0.3750  2 Pd 2.85, 4 Bi 2.88
9 Pd 0.8125 0.8125 0.6250  2 Pd 2.85, 4 Bi 2.88
10 Pd 0.8755 0.2642 0.1397  1 Ca 2.80, 4 Bi 2.83-3.13, 3 Pd 2.85-2.92
11 Pd 0.7358 0.1245 0.8603  1 Ca 2.80, 4 Bi 2.83-3.13, 3 Pd 2.85-2.92
12 Pd 0.2642 0.8755 0.1397  1 Ca 2.80, 4 Bi 2.83-3.13, 3 Pd 2.85-2.92

Output
E_form (eV/atom): -0.33
E above lowest polymorph (eV/atom): 0.1802


Compound: RbPt3I
Source: the Alexandria database
Functional: GGA-PBE
Structure: relaxed

a b c (Å): 5.2146 5.2146 5.2146
angles (deg): 90.00 90.00 90.00
With the nearest neighbours (Å) after each atom.
Sites, in units of the cell vectors:
1 Rb 0.0000 0.0000 0.0000  6 Pt 2.61
2 Pt 0.5000 0.0000 0.0000  2 Rb 2.61
3 Pt 0.0000 0.0000 0.5000  2 Rb 2.61
4 Pt 0.0000 0.5000 0.0000  2 Rb 2.61
5 I 0.5000 0.5000 0.5000  12 Pt 3.69

Output
E above lowest polymorph (eV/atom): 1.4866
Formation energy (no corrections) (eV per atom): 2.085


Compound: Ce3Ru
Source: the Alexandria database
Functional: GGA-PBE
Structure: relaxed

a b c (Å): 6.1191 6.9143 9.6360
angles (deg): 90.00 90.00 90.00
With the nearest neighbours (Å) after each atom.
Sites, in units of the cell vectors:
1 Ce 0.8685 0.6526 0.0543  2 Ru 2.81-2.96, 1 Ce 2.85
2 Ce 0.6315 0.1526 0.4457  2 Ru 2.81-2.96, 1 Ce 2.85
3 Ce 0.3685 0.8474 0.5543  2 Ru 2.81-2.96, 1 Ce 2.85
4 Ce 0.3746 0.5412 0.2500  1 Ru 2.50
5 Ce 0.3685 0.8474 0.9457  2 Ru 2.81-2.96, 1 Ce 2.85
6 Ce 0.8746 0.9588 0.7500  1 Ru 2.50
7 Ce 0.6315 0.1526 0.0543  2 Ru 2.81-2.96, 1 Ce 2.85
8 Ce 0.6254 0.4588 0.7500  1 Ru 2.50
9 Ce 0.1254 0.0412 0.2500  1 Ru 2.50
10 Ce 0.8685 0.6526 0.4457  2 Ru 2.81-2.96, 1 Ce 2.85
11 Ce 0.1315 0.3474 0.5543  2 Ru 2.81-2.96, 1 Ce 2.85
12 Ce 0.1315 0.3474 0.9457  2 Ru 2.81-2.96, 1 Ce 2.85
13 Ru 0.0751 0.6444 0.7500  1 Ce 2.50
14 Ru 0.5751 0.8556 0.2500  1 Ce 2.50
15 Ru 0.9249 0.3556 0.2500  1 Ce 2.50
16 Ru 0.4249 0.1444 0.7500  1 Ce 2.50

Output
E_form (eV/atom): -0.20


Compound: ZrAgP2
Source: the Alexandria database
Functional: GGA-PBE
Structure: relaxed

a b c (Å): 5.5391 5.5391 5.5391
angles (deg): 140.37 140.37 57.28
With the nearest neighbours (Å) after each atom.
Sites, in units of the cell vectors:
1 Zr 0.5000 0.5000 0.0000  4 P 2.66
2 Ag 0.7500 0.2500 0.5000  4 P 2.66
3 P 0.0000 0.0000 0.0000  4 Zr 2.66
4 P 0.2500 0.7500 0.5000  4 Ag 2.66

Output
E_form (eV/atom): -0.34
E above lowest polymorph (eV/atom): 0.1256


Compound: Tb2Nd2Ga4Si
Source: the Alexandria database
Functional: GGA-PBE
Structure: relaxed

a b c (Å): 6.6456 6.6456 6.6456
angles (deg): 96.93 116.08 116.08
With the nearest neighbours (Å) after each atom.
Sites, in units of the cell vectors:
1 Si 0.0000 0.0000 0.0000  4 Ga 2.45, 2 Tb 2.71
2 Tb 0.0000 0.6927 0.6927  1 Si 2.71
3 Tb 0.0000 0.3073 0.3073  1 Si 2.71
4 Nd 0.5000 0.7500 0.2500  8 Ga 3.32, 4 Tb 3.55
5 Nd 0.5000 0.2500 0.7500  8 Ga 3.32, 4 Tb 3.55
6 Ga 0.0000 0.2466 0.7534  1 Si 2.45
7 Ga 0.5068 0.7534 0.7534  1 Si 2.45
8 Ga 0.0000 0.7534 0.2466  1 Si 2.45
9 Ga 0.4932 0.2466 0.2466  1 Si 2.45

Output
Formation energy (no corrections) (eV per atom): -0.349


Compound: MgTl2PbCl6
Source: the Alexandria database
Functional: GGA-PBE
Structure: relaxed

a b c (Å): 7.3039 7.6084 10.5409
angles (deg): 90.00 90.08 90.00
With the nearest neighbours (Å) after each atom.
Sites, in units of the cell vectors:
1 Cl 0.8196 0.7807 0.9553  1 Mg 2.55
2 Cl 0.2836 0.6843 0.0429  1 Mg 2.54
3 Cl 0.4115 0.9806 0.7322  1 Mg 2.54
4 Cl 0.2164 0.1843 0.4571  1 Mg 2.54
5 Cl 0.0885 0.4806 0.7678  1 Mg 2.54
6 Cl 0.5885 0.0194 0.2678  1 Mg 2.54
7 Cl 0.3196 0.7193 0.4553  1 Mg 2.55
8 Cl 0.6804 0.2807 0.5447  1 Mg 2.55
9 Cl 0.7836 0.8157 0.5429  1 Mg 2.54
10 Cl 0.7164 0.3157 0.9571  1 Mg 2.54
11 Cl 0.1804 0.2193 0.0447  1 Mg 2.55
12 Cl 0.9115 0.5194 0.2322  1 Mg 2.54
13 Pb 0.5000 0.0000 0.0000  6 Cl 2.90-2.91
14 Pb 0.0000 0.5000 0.5000  6 Cl 2.90-2.91
15 Tl 0.5193 0.5653 0.7491  6 Cl 3.22-3.49
16 Tl 0.0193 0.9347 0.2491  6 Cl 3.22-3.49
17 Tl 0.4807 0.4347 0.2509  6 Cl 3.22-3.49
18 Tl 0.9807 0.0653 0.7509  6 Cl 3.22-3.49
19 Mg 0.0000 0.5000 0.0000  6 Cl 2.54-2.55
20 Mg 0.5000 0.0000 0.5000  6 Cl 2.54-2.55

Output
Formation energy (no corrections) (eV per atom): -1.306


Compound: Hf2UCu
Source: the Alexandria database
Functional: GGA-PBE
Structure: relaxed

a b c (Å): 3.0729 5.0175 5.0175
angles (deg): 90.00 90.00 90.00
With the nearest neighbours (Å) after each atom.
Sites, in units of the cell vectors:
1 Hf 0.0000 0.5000 0.0000  4 U 2.94, 4 Cu 2.94, 2 Hf 3.07
2 Hf 0.0000 0.0000 0.5000  4 U 2.94, 4 Cu 2.94, 2 Hf 3.07
3 U 0.5000 0.5000 0.5000  8 Hf 2.94, 2 U 3.07
4 Cu 0.5000 0.0000 0.0000  8 Hf 2.94, 2 Cu 3.07

Output
E_form (eV/atom): 0.21
E above lowest polymorph (eV/atom): 0.1395


Compound: CaTbIn4O8
Source: the Alexandria database
Functional: GGA-PBE
Structure: relaxed

a b c (Å): 6.6680 6.6680 6.7395
angles (deg): 60.35 60.35 60.00
With the nearest neighbours (Å) after each atom.
Sites, in units of the cell vectors:
1 O 0.7553 0.7553 0.2681  3 In 2.20-2.27, 1 Tb 2.34
2 O 0.2400 0.7887 0.7312  2 In 2.23, 1 Ca 2.25, 1 Tb 2.27
3 O 0.2214 0.7553 0.2681  3 In 2.20-2.27, 1 Tb 2.34
4 O 0.2356 0.2356 0.2933  3 In 2.23, 1 Ca 2.33
5 O 0.7629 0.7629 0.7112  4 In 2.26-2.29
6 O 0.7553 0.2214 0.2681  3 In 2.20-2.27, 1 Tb 2.34
7 O 0.7887 0.2400 0.7312  2 In 2.23, 1 Ca 2.25, 1 Tb 2.27
8 O 0.2400 0.2400 0.7312  2 In 2.23, 1 Ca 2.25, 1 Tb 2.27
9 In 0.0011 0.4964 0.5014  6 O 2.23-2.27
10 In 0.6248 0.6248 0.1256  4 O 2.20-2.29
11 In 0.0011 0.0011 0.5014  6 O 2.23-2.27
12 In 0.4964 0.0011 0.5014  6 O 2.23-2.27
13 Tb 0.0015 0.0015 0.9954  6 O 2.27-2.34
14 Ca 0.3759 0.3759 0.8724  4 O 2.25-2.33

Output
Formation energy (no corrections) (eV per atom): -2.035


Which calculated volume belongs to each record? In order, 88 182 191 115 137 142 102 69 218 293 77 213 Å³/f.u..